AgC2N: relaxed, GGA-PBE.

Values from the calculation:
SG ... No. 225
Crystal system ... cubic
Energy above the lowest structure with this stoichiometry ... 1.5616 eV per atom
Uncorrected formation energy ... 3464 meV/atom

Cell and atoms, written as POSCAR:
```
AgC2N
1.0
-0.070 -3.857 0.107
-3.240 -1.844 0.997
-1.994 -1.969 -2.654
C Ag N
2 1 1
Direct
0.250 0.250 0.250
0.750 0.750 0.750
0.500 0.500 0.500
0.000 0.000 0.000
```

AgC2N: relaxed, GGA-PBE.

Values from the calculation:
SG ... No. 122
Crystal system ... tetragonal
Energy above the lowest structure with this stoichiometry ... 0.0000 eV per atom
Uncorrected formation energy ... 1902 meV/atom

Cell and atoms, written as POSCAR:
```
AgC2N
1.0
-0.549 -2.709 3.664
4.455 0.454 1.004
1.219 1.696 4.311
Ag C N
2 4 2
Direct
0.750 0.250 0.500
0.000 0.000 0.000
0.525 0.125 0.250
0.225 0.625 0.250
0.875 0.775 0.750
0.375 0.475 0.750
0.250 0.750 0.500
0.500 0.500 0.000
```

AgC2N2: relaxed, GGA-PBE.

Values from the calculation:
SG ... No. 127
Crystal system ... tetragonal
Energy above the lowest structure with this stoichiometry ... 0.0000 eV per atom
Uncorrected formation energy ... 1031 meV/atom

Cell and atoms, written as POSCAR:
```
AgC2N2
1.0
-8.765 1.187 -1.411
-1.500 -0.606 8.810
0.291 2.408 0.215
Ag N C
2 4 4
Direct
0.000 0.000 0.000
0.500 0.500 0.000
0.380 0.120 0.000
0.880 0.380 0.000
0.120 0.620 0.000
0.620 0.880 0.000
0.147 0.647 0.500
0.853 0.353 0.500
0.353 0.147 0.500
0.647 0.853 0.500
```

AgC2N2: relaxed, GGA-PBE.

Values from the calculation:
SG ... No. 139
Crystal system ... tetragonal
Energy above the lowest structure with this stoichiometry ... 1.0380 eV per atom
Uncorrected formation energy ... 2069 meV/atom

Cell and atoms, written as POSCAR:
```
AgC2N2
1.0
-2.428 0.663 -1.656
0.677 -2.246 -1.891
-4.684 -5.165 2.059
C Ag N
2 1 2
Direct
0.750 0.250 0.500
0.250 0.750 0.500
0.000 0.000 0.000
0.209 0.209 0.582
0.791 0.791 0.418
```

AgCN2: relaxed, GGA-PBE.

Values from the calculation:
SG ... No. 225
Crystal system ... cubic
Energy above the lowest structure with this stoichiometry ... 2.6538 eV per atom
Uncorrected formation energy ... 3219 meV/atom

Cell and atoms, written as POSCAR:
```
AgCN2
1.0
-0.776 1.619 3.371
-3.493 -0.317 1.511
-0.556 -2.184 3.084
Ag N C
1 2 1
Direct
0.500 0.500 0.500
0.250 0.250 0.250
0.750 0.750 0.750
0.000 0.000 0.000
```

AgCN2: relaxed, GGA-PBE.

Values from the calculation:
SG ... No. 166
Crystal system ... trigonal
Energy above the lowest structure with this stoichiometry ... 0.0000 eV per atom
Uncorrected formation energy ... 565 meV/atom

Cell and atoms, written as POSCAR:
```
AgCN2
1.0
-4.812 1.127 1.782
-4.892 -1.913 -0.105
-3.651 -1.923 3.252
Ag N C
1 2 1
Direct
0.500 0.500 0.500
0.914 0.914 0.914
0.086 0.086 0.086
0.000 0.000 0.000
```

AgC4N3: relaxed, GGA-PBE.

Values from the calculation:
SG ... No. 46
Crystal system ... orthorhombic
Uncorrected formation energy ... 483 meV/atom

Cell and atoms, written as POSCAR:
```
AgC4N3
1.0
7.343 -2.225 -0.834
-0.339 -6.353 4.370
-3.696 2.221 -6.401
N C Ag
6 8 2
Direct
0.693 0.390 0.749
0.229 0.722 0.993
0.307 0.057 0.698
0.771 0.763 0.493
0.859 0.057 0.249
0.141 0.390 0.198
0.359 0.511 0.652
0.289 0.628 0.839
0.459 0.164 0.904
0.241 0.445 0.404
0.641 0.293 0.152
0.711 0.549 0.339
0.759 0.164 0.204
0.541 0.445 0.704
0.123 0.902 0.280
0.877 0.157 0.780
```

NaAgC2N2: relaxed, GGA-PBE.

Values from the calculation:
SG ... No. 15
Crystal system ... monoclinic
Uncorrected formation energy ... 43 meV/atom

Cell and atoms, written as POSCAR:
```
NaAgC2N2
1.0
-3.031 -0.827 -2.124
-2.797 -2.122 1.433
-10.092 14.039 5.779
C Na N Ag
4 2 4 2
Direct
0.538 0.885 0.612
0.885 0.538 0.112
0.115 0.462 0.888
0.462 0.115 0.388
0.861 0.139 0.750
0.139 0.861 0.250
0.556 0.823 0.676
0.177 0.444 0.824
0.444 0.177 0.324
0.823 0.556 0.176
0.500 0.000 0.500
0.000 0.500 0.000
```

NbAg2CN: relaxed, GGA-PBE.

Values from the calculation:
SG ... No. 123
Crystal system ... tetragonal
Uncorrected formation energy ... 1314 meV/atom

Cell and atoms, written as POSCAR:
```
NbAg2CN
1.0
4.097 0.000 0.000
0.000 4.400 0.000
0.000 0.000 4.097
Nb C Ag N
1 1 2 1
Direct
0.000 0.500 0.000
0.000 0.000 0.000
0.000 0.000 0.500
0.500 0.000 0.000
0.500 0.500 0.500
```

AgCN2O: relaxed, GGA-PBE.

Values from the calculation:
SG ... No. 123
Crystal system ... tetragonal
Uncorrected formation energy ... 1680 meV/atom

Cell and atoms, written as POSCAR:
```
AgCN2O
1.0
2.982 0.000 0.000
0.000 2.982 0.000
0.000 0.000 7.119
N O C Ag
2 1 1 1
Direct
0.500 0.000 0.000
0.000 0.500 0.000
0.000 0.000 0.500
0.000 0.000 0.000
0.500 0.500 0.500
```

AgC2NO: relaxed, GGA-PBE.

Values from the calculation:
SG ... No. 123
Crystal system ... tetragonal
Uncorrected formation energy ... 2368 meV/atom

Cell and atoms, written as POSCAR:
```
AgC2NO
1.0
3.080 0.000 0.000
0.000 7.347 0.000
0.000 0.000 3.080
O C Ag N
1 2 1 1
Direct
0.500 0.500 0.500
0.000 0.000 0.500
0.500 0.000 0.000
0.000 0.500 0.000
0.000 0.000 0.000
```

AgCN2O: relaxed, GGA-PBE.

Values from the calculation:
SG ... No. 123
Crystal system ... tetragonal
Uncorrected formation energy ... 3182 meV/atom

Cell and atoms, written as POSCAR:
```
AgCN2O
1.0
4.085 0.000 0.000
0.000 4.085 0.000
0.000 0.000 4.172
O Ag C N
1 1 1 2
Direct
0.000 0.000 0.500
0.000 0.000 0.000
0.500 0.500 0.500
0.500 0.000 0.000
0.000 0.500 0.000
```

Pa3AgC4N12: relaxed, GGA-PBE.

Values from the calculation:
SG ... No. 155
Crystal system ... trigonal
Uncorrected formation energy ... -239 meV/atom

Cell and atoms, written as POSCAR:
```
Pa3AgC4N12
1.0
6.533 0.084 0.117
-1.492 6.361 0.117
-1.492 -1.908 6.070
C N Pa Ag
4 12 3 1
Direct
0.025 0.500 0.975
0.500 0.500 0.500
0.975 0.025 0.500
0.500 0.975 0.025
0.108 0.892 0.500
0.621 0.833 0.022
0.892 0.500 0.108
0.167 0.379 0.978
0.500 0.108 0.892
0.500 0.367 0.633
0.022 0.621 0.833
0.633 0.500 0.367
0.833 0.022 0.621
0.367 0.633 0.500
0.978 0.167 0.379
0.379 0.978 0.167
0.000 0.527 0.473
0.527 0.473 0.000
0.473 0.000 0.527
0.000 0.000 0.000
```

AgPdCN2: relaxed, GGA-PBE.

Values from the calculation:
SG ... No. 123
Crystal system ... tetragonal
Uncorrected formation energy ... 2325 meV/atom

Cell and atoms, written as POSCAR:
```
AgPdCN2
1.0
-4.036 -0.991 -0.140
-0.090 -0.183 3.909
-0.996 4.034 0.166
Ag N Pd C
1 2 1 1
Direct
0.500 0.500 0.500
0.500 0.000 0.000
0.000 0.000 0.500
0.000 0.000 0.000
0.000 0.500 0.000
```

Pm2AgC2N6: relaxed, GGA-PBE.

Values from the calculation:
SG ... No. 12
Crystal system ... monoclinic
Uncorrected formation energy ... -125 meV/atom

Cell and atoms, written as POSCAR:
```
Pm2AgC2N6
1.0
-6.404 2.399 -0.131
-3.631 -0.198 -4.722
-1.484 -3.717 4.448
Pm N C Ag
2 6 2 1
Direct
0.185 0.630 0.192
0.815 0.370 0.808
0.898 0.532 0.256
0.075 0.850 0.677
0.102 0.468 0.744
0.925 0.150 0.323
0.570 0.532 0.256
0.430 0.468 0.744
0.196 0.608 0.718
0.804 0.392 0.282
0.500 0.000 0.500
```

Rb2AgC3S3N3: relaxed, GGA-PBE.

Values from the calculation:
SG ... No. 14
Crystal system ... monoclinic
Uncorrected formation energy ... -235 meV/atom

Cell and atoms, written as POSCAR:
```
Rb2AgC3S3N3
1.0
7.973 -0.030 0.000
-2.940 9.089 0.000
0.000 0.000 16.472
S C N Rb Ag
12 12 12 8 4
Direct
0.322 0.938 0.140
0.965 0.570 0.225
0.822 0.938 0.360
0.465 0.570 0.275
0.678 0.062 0.860
0.535 0.430 0.725
0.225 0.155 0.907
0.178 0.062 0.640
0.725 0.155 0.593
0.035 0.430 0.775
0.275 0.845 0.407
0.775 0.845 0.093
0.612 0.251 0.549
0.517 0.060 0.154
0.888 0.749 0.049
0.483 0.940 0.846
0.017 0.060 0.346
0.112 0.251 0.951
0.568 0.507 0.816
0.983 0.940 0.654
0.068 0.507 0.684
0.932 0.493 0.316
0.388 0.749 0.451
0.432 0.493 0.184
0.592 0.565 0.880
0.408 0.435 0.120
0.157 0.151 0.337
0.532 0.319 0.515
0.657 0.151 0.163
0.843 0.849 0.663
0.968 0.681 0.015
0.908 0.435 0.380
0.092 0.565 0.620
0.343 0.849 0.837
0.032 0.319 0.985
0.468 0.681 0.485
0.050 0.192 0.155
0.550 0.192 0.345
0.321 0.640 0.990
0.950 0.808 0.845
0.450 0.808 0.655
0.679 0.360 0.010
0.821 0.640 0.510
0.179 0.360 0.490
0.718 0.241 0.741
0.282 0.759 0.259
0.218 0.241 0.759
0.782 0.759 0.241
```

AgRu2CN: relaxed, GGA-PBE.

Values from the calculation:
SG ... No. 123
Crystal system ... tetragonal
Uncorrected formation energy ... 3420 meV/atom

Cell and atoms, written as POSCAR:
```
AgRu2CN
1.0
-3.054 3.538 -1.915
0.943 -1.708 -4.659
-2.893 -2.348 0.275
Ag Ru C N
1 2 1 1
Direct
0.000 0.000 0.000
0.500 0.000 0.000
0.000 0.500 0.000
0.000 0.000 0.500
0.500 0.500 0.500
```

AgCSN2: relaxed, GGA-PBE.

Values from the calculation:
SG ... No. 123
Crystal system ... tetragonal
Energy above the lowest structure with this stoichiometry ... 0.0000 eV per atom
Uncorrected formation energy ... 2041 meV/atom

Cell and atoms, written as POSCAR:
```
AgCSN2
1.0
3.244 0.000 0.000
0.000 7.974 0.000
0.000 0.000 3.244
C N Ag S
1 2 1 1
Direct
0.000 0.000 0.000
0.000 0.000 0.500
0.500 0.000 0.000
0.500 0.500 0.500
0.000 0.500 0.000
```

AgCSN2: relaxed, GGA-PBE.

Values from the calculation:
SG ... No. 123
Crystal system ... tetragonal
Energy above the lowest structure with this stoichiometry ... 1.0702 eV per atom
Uncorrected formation energy ... 3112 meV/atom

Cell and atoms, written as POSCAR:
```
AgCSN2
1.0
-2.598 -1.954 2.307
2.798 -0.402 2.811
-1.549 4.665 2.208
C Ag S N
1 1 1 2
Direct
0.500 0.500 0.500
0.000 0.000 0.000
0.000 0.000 0.500
0.500 0.000 0.000
0.000 0.500 0.000
```

AgCSeN2: relaxed, GGA-PBE.

Values from the calculation:
SG ... No. 123
Crystal system ... tetragonal
Energy above the lowest structure with this stoichiometry ... 0.0000 eV per atom
Uncorrected formation energy ... 2216 meV/atom

Cell and atoms, written as POSCAR:
```
AgCSeN2
1.0
-1.706 -2.236 1.846
2.898 -1.377 1.011
0.196 4.902 6.119
N Se C Ag
2 1 1 1
Direct
0.500 0.000 0.000
0.000 0.500 0.000
0.000 0.000 0.500
0.000 0.000 0.000
0.500 0.500 0.500
```

AgCSeN2: relaxed, GGA-PBE.

Values from the calculation:
SG ... No. 123
Crystal system ... tetragonal
Energy above the lowest structure with this stoichiometry ... 0.7484 eV per atom
Uncorrected formation energy ... 2965 meV/atom

Cell and atoms, written as POSCAR:
```
AgCSeN2
1.0
-3.133 -1.964 -1.450
1.934 -3.436 0.476
-2.150 -0.477 5.291
C Se N Ag
1 1 2 1
Direct
0.500 0.500 0.500
0.000 0.000 0.500
0.000 0.500 0.000
0.500 0.000 0.000
0.000 0.000 0.000
```

AgCSe2N: relaxed, GGA-PBE.

Values from the calculation:
SG ... No. 123
Crystal system ... tetragonal
Energy above the lowest structure with this stoichiometry ... 0.0000 eV per atom
Uncorrected formation energy ... 680 meV/atom

Cell and atoms, written as POSCAR:
```
AgCSe2N
1.0
6.022 0.000 0.000
0.000 6.022 0.000
0.000 0.000 2.502
C Ag Se N
1 1 2 1
Direct
0.000 0.000 0.000
0.500 0.500 0.500
0.500 0.000 0.000
0.000 0.500 0.000
0.000 0.000 0.500
```

AgCSe2N: relaxed, GGA-PBE.

Values from the calculation:
SG ... No. 123
Crystal system ... tetragonal
Energy above the lowest structure with this stoichiometry ... 1.8133 eV per atom
Uncorrected formation energy ... 2493 meV/atom

Cell and atoms, written as POSCAR:
```
AgCSe2N
1.0
-1.219 -0.350 5.018
-0.784 -5.087 -0.545
3.809 -0.681 0.877
Se C Ag N
2 1 1 1
Direct
0.500 0.000 0.000
0.000 0.500 0.000
0.500 0.500 0.500
0.000 0.000 0.000
0.000 0.000 0.500
```

We obtain E values of -3.942, -5.504, -6.559, -5.520, -3.963, -6.616, -7.607, -6.501, -5.350, -5.057, -4.548, -3.555, -8.646, -4.459, -7.466, -6.053, -4.370, -4.529, -3.459, -4.226, -3.477, -4.794, -2.980 eV per atom for the records listed above, in that order.